# 1
{
  "formula": "MgBe2Rh",
  "functional": "PBE-GGA",
  "state": "relaxed",
  "space_group": "F-43m (216)",
  "dft_energy_ry_per_atom": -0.309,
  "magmom_total_mub_per_cell": 0.00,
  "delta_e_f_ev_per_atom": -0.109,
  "lattice_angstrom": [[-1.0210, -3.0623, -2.5178], [2.7021, -2.9645, -0.8183], [-0.5815, -3.7682, 1.4907]],
  "species": ["Mg", "Be", "Be", "Rh"],
  "fractional_positions": [[0.5000, 0.5000, 0.5000], [0.0000, 0.0000, 0.0000], [0.7500, 0.7500, 0.7500], [0.2500, 0.2500, 0.2500]]
}



# 2
{
  "formula": "MgBe2Rh2",
  "functional": "PBE-GGA",
  "state": "relaxed",
  "space_group": "I4/mmm (139)",
  "dft_energy_ry_per_atom": -0.372,
  "magmom_total_mub_per_cell": 0.00,
  "polymorph_energy_mev_per_atom": 308,
  "delta_e_f_ev_per_atom": -0.313,
  "lattice_angstrom": [[-0.2604, -3.0203, -0.9716], [1.5647, -0.9703, 2.5970], [-4.8363, -2.5225, 3.9226]],
  "species": ["Rh", "Mg", "Be", "Rh", "Be"],
  "fractional_positions": [[0.3795, 0.3795, 0.2410], [0.0000, 0.0000, 0.0000], [0.2500, 0.7500, 0.5000], [0.6205, 0.6205, 0.7590], [0.7500, 0.2500, 0.5000]]
}



# 3
{
  "formula": "MgBe2Rh3",
  "functional": "PBE-GGA",
  "state": "relaxed",
  "space_group": "P4/mmm (123)",
  "dft_energy_ry_per_atom": -0.420,
  "magmom_total_mub_per_cell": 0.00,
  "delta_e_f_ev_per_atom": -0.524,
  "lattice_angstrom": [[-1.8876, -2.1152, -0.3647], [0.3900, -0.8156, 2.7116], [-6.6473, 5.4828, 2.6053]],
  "species": ["Rh", "Be", "Mg", "Rh", "Be", "Rh"],
  "fractional_positions": [[0.0000, 0.0000, 0.3013], [0.5000, 0.5000, 0.8488], [0.5000, 0.5000, 0.5000], [0.0000, 0.0000, 0.6987], [0.5000, 0.5000, 0.1512], [0.0000, 0.0000, 0.0000]]
}